Here is a geometry-optimized CdAsC2Se structure from Alexandria. Energies are from PBE.

Its uncorrected formation energy is 1782 meV/atom. The calculation puts the calculated total energy at -18.59 eV/cell. For the magnetic moment, the calculation gives 0.28 μB per atom.

The space group is P4/mmm (No. 123) and the conventional cell measures 3.867, 3.867 and 8.105 Å, with angles of 90.00, 90.00 and 90.00 degrees. The asymmetric unit holds Cd at (0.000, 0.000, 0.000), As at (0.000, 0.000, 0.500), C at (0.000, 0.500, 0.500) and Se at (0.500, 0.500, 0.000).